[1]
# RbPrVO4

A geometry-optimized RbPrVO4 structure (PBE with a Hubbard U, Alexandria via LeMat-Bulk).

The structure in POSCAR format:
```
RbPrVO4
1.0
6.1649 0.0000 0.0880
0.0000 6.0591 0.0000
-2.3140 0.0000 7.3597
Rb Pr V O
2 2 2 8
Cartesian
2.2272 4.5443 6.9240
1.6237 1.5148 0.5237
3.9362 4.5443 3.4084
-0.0853 1.5148 4.0393
0.9073 4.5443 2.5589
2.9436 1.5148 4.8888
4.2595 2.8722 5.0434
-0.4086 5.9018 2.4043
-0.4086 3.1869 2.4043
4.2595 0.1573 5.0434
2.3273 4.5443 1.4830
1.5236 1.5148 5.9647
1.4989 4.5443 4.2059
2.3520 1.5148 3.2418
```

Calculated values
Magnetization: 2.0 μB/cell
Total energy: -7.10 eV/atom

=====

[2]
# Rb4Pr3VO8

A geometry-optimized Rb4Pr3VO8 structure (PBE with a Hubbard U, Alexandria via LeMat-Bulk).

The structure in POSCAR format:
```
Rb4Pr3VO8
1.0
-2.7091 5.4631 -3.6819
-6.3141 -0.0664 4.5473
6.4104 0.6923 3.2010
Rb Pr V O
4 3 1 8
Cartesian
-1.3546 2.7315 -1.8410
1.8506 3.0777 -0.2405
0.0000 0.0000 0.0000
3.2052 0.3461 1.6005
-4.5116 2.6983 0.4327
-1.3064 3.0445 2.0332
0.0482 0.3129 3.8741
-3.1570 -0.0332 2.2736
1.3948 1.7401 5.3730
-2.0378 1.5194 3.7538
0.7745 1.8496 2.1745
-0.1061 4.7667 3.3332
-2.5067 1.3222 0.7331
-3.3873 4.2393 1.8919
-0.5750 4.5695 0.3126
-4.0076 4.3488 -1.3067
```

Calculated values
Magnetization: 2.0 μB/cell
Total energy: -6.34 eV/atom

=====

[3]
# Rb2PrWO6

A geometry-optimized Rb2PrWO6 structure (PBE with a Hubbard U, Alexandria via LeMat-Bulk).

The structure in POSCAR format:
```
Rb2PrWO6
1.0
6.4411 0.0000 0.0000
3.2206 5.5782 0.0000
3.2206 1.8594 10.3837
Rb Pr W O
4 2 2 12
Cartesian
9.6617 5.5782 4.1587
3.2205 1.8594 6.2250
9.6617 5.5782 8.3248
3.2205 1.8594 2.0589
6.4411 3.7188 2.0381
6.4411 3.7188 8.3457
0.0000 0.0000 0.0000
6.4411 3.7188 5.1919
7.7811 2.9451 3.9958
6.4411 5.2661 3.9958
5.1011 2.9451 3.9958
5.1011 4.4924 6.3879
6.4411 2.1714 6.3879
7.7811 4.4924 6.3879
8.2782 2.6581 9.2579
6.4411 5.8401 9.2579
4.6040 2.6581 9.2579
4.6040 4.7795 1.1259
6.4411 1.5974 1.1259
8.2783 4.7795 1.1259
```

Calculated values
Magnetization: 2.2 μB/cell
Total energy: -6.49 eV/atom

=====

Question: What is the total energy in the second record?
Answer: -6.34 eV/atom

=====

Question: The highest total energy belongs to which entry?
Answer: Rb4Pr3VO8

=====

Question: What is the total energy in the third record?
Answer: -6.49 eV/atom

=====

Question: Look up the total energy of the first one.
Answer: -7.10 eV/atom